A plane-wave DFT calculation with PBE-GGA was carried out for crystalline Ca2MgNbCr at its relaxed geometry.

```
Ca2MgNbCr
1.0
5.699 0.000 0.000
0.000 5.699 0.000
0.000 0.000 4.523
Ca Mg Nb Cr
2 1 1 1
direct
0.000 0.500 0.000 Ca
0.500 0.000 0.000 Ca
0.000 0.000 0.500 Mg
0.500 0.500 0.500 Nb
0.500 0.500 0.000 Cr
```

Summary:
For the raw total energy, the calculation gives -21.70 eV for the cell shown. The calculation puts the formation energy at 0.72 eV per atom. For the total moment, the calculation gives 0.60 μB per cell. The density of states at the Fermi level is 4.6 states/eV per cell.


A plane-wave DFT calculation with PBE-GGA was carried out for crystalline CaMgCrPd2 at its relaxed geometry.

```
CaMgCrPd2
1.0
4.807 0.000 0.000
0.000 4.807 0.000
0.000 0.000 5.269
Ca Mg Cr Pd
1 1 1 2
direct
0.000 0.000 0.000 Ca
0.000 0.000 0.500 Mg
0.500 0.500 0.500 Cr
0.000 0.500 0.000 Pd
0.500 0.000 0.000 Pd
```

Summary:
For the raw total energy, the calculation gives -16.30 eV for the cell shown. The calculation puts the formation energy at 1.46 eV per atom. For the total moment, the calculation gives 0.30 μB per cell. The density of states at the Fermi level is 7.4 states/eV per cell.


A plane-wave DFT calculation with PBE-GGA was carried out for crystalline CaMgSc2Cr at its relaxed geometry.

```
CaMgSc2Cr
1.0
4.857 0.000 0.000
0.000 4.857 0.000
0.000 0.000 5.383
Ca Mg Sc Cr
1 1 2 1
direct
0.000 0.000 0.000 Ca
0.500 0.500 0.000 Mg
0.000 0.500 0.500 Sc
0.500 0.000 0.500 Sc
0.500 0.500 0.500 Cr
```

Summary:
For the raw total energy, the calculation gives -24.33 eV for the cell shown. The calculation puts the formation energy at 0.31 eV per atom. For the total moment, the calculation gives 1.10 μB per cell. The density of states at the Fermi level is 3.3 states/eV per cell.


A plane-wave DFT calculation with PBE-GGA was carried out for crystalline CaMgCrTe2 at its relaxed geometry.

```
CaMgCrTe2
1.0
5.807 0.000 0.000
0.000 5.807 0.000
0.000 0.000 5.742
Ca Mg Cr Te
1 1 1 2
direct
0.000 0.000 0.000 Ca
0.000 0.000 0.500 Mg
0.500 0.500 0.500 Cr
0.000 0.500 0.000 Te
0.500 0.000 0.000 Te
```

Summary:
For the raw total energy, the calculation gives -16.85 eV for the cell shown. The formation energy from raw total energies comes out at 531 meV per atom. For the total moment, the calculation gives 4.45 μB per cell. The density of states at the Fermi level is 3.9 states/eV per cell.


A plane-wave DFT calculation with PBE-GGA was carried out for crystalline Ca2MgTiCr at its relaxed geometry.

```
Ca2MgTiCr
1.0
5.569 0.000 0.000
0.000 5.569 0.000
0.000 0.000 5.291
Ca Mg Ti Cr
2 1 1 1
direct
0.000 0.500 0.000 Ca
0.500 0.000 0.000 Ca
0.000 0.000 0.500 Mg
0.000 0.000 0.000 Ti
0.500 0.500 0.500 Cr
```

Summary:
For the raw total energy, the calculation gives -16.94 eV for the cell shown. The calculation puts the formation energy at 1.24 eV per atom. For the total moment, the calculation gives 5.23 μB per cell. The density of states at the Fermi level is 9.0 states/eV per cell.


A plane-wave DFT calculation with PBE-GGA was carried out for crystalline Ca2MgCrW at its relaxed geometry.

```
Ca2MgCrW
1.0
5.647 0.000 0.000
0.000 5.647 0.000
0.000 0.000 5.030
Ca Mg Cr W
2 1 1 1
direct
0.000 0.500 0.000 Ca
0.500 0.000 0.000 Ca
0.000 0.000 0.000 Mg
0.500 0.500 0.500 Cr
0.000 0.000 0.500 W
```

Summary:
For the raw total energy, the calculation gives -20.09 eV for the cell shown. The calculation puts the formation energy at 1.62 eV per atom. For the total moment, the calculation gives 1.93 μB per cell. The density of states at the Fermi level is 5.8 states/eV per cell.


A plane-wave DFT calculation with PBE-GGA was carried out for crystalline CaMgZn2Cr at its relaxed geometry.

```
CaMgZn2Cr
1.0
4.945 0.000 0.000
0.000 4.945 0.000
0.000 0.000 5.077
Ca Mg Zn Cr
1 1 2 1
direct
0.000 0.000 0.000 Ca
0.500 0.500 0.500 Mg
0.000 0.500 0.500 Zn
0.500 0.000 0.500 Zn
0.500 0.500 0.000 Cr
```

Summary:
For the raw total energy, the calculation gives -12.94 eV for the cell shown. The calculation puts the formation energy at 0.57 eV per atom. For the total moment, the calculation gives 4.34 μB per cell. The density of states at the Fermi level is 2.8 states/eV per cell.


A plane-wave DFT calculation with PBE-GGA was carried out for crystalline Ca2MgZnCr at its relaxed geometry.

```
Ca2MgZnCr
1.0
5.656 0.000 0.000
0.000 5.656 0.000
0.000 0.000 4.854
Ca Mg Zn Cr
2 1 1 1
direct
0.000 0.500 0.000 Ca
0.500 0.000 0.000 Ca
0.000 0.000 0.500 Mg
0.500 0.500 0.000 Zn
0.500 0.500 0.500 Cr
```

Summary:
For the raw total energy, the calculation gives -14.58 eV for the cell shown. The calculation puts the formation energy at 0.38 eV per atom. For the total moment, the calculation gives 4.61 μB per cell. The density of states at the Fermi level is 3.5 states/eV per cell.


A plane-wave DFT calculation with PBE-GGA was carried out for crystalline Ca3MnCr at its relaxed geometry.

```
Ca3MnCr
1.0
5.688 0.000 0.000
0.000 5.688 0.000
0.000 0.000 5.688
Ca Mn Cr
3 1 1
direct
0.000 0.000 0.500 Ca
0.000 0.500 0.000 Ca
0.500 0.000 0.000 Ca
0.500 0.500 0.500 Mn
0.000 0.000 0.000 Cr
```

Summary:
For the raw total energy, the calculation gives -20.01 eV for the cell shown. The value obtained for the excess energy over the best structure of this formula in the dataset is 0.0000 eV/atom. The calculation puts the formation energy at 0.96 eV per atom. For the total moment, the calculation gives 0.58 μB per cell. The density of states at the Fermi level is 6.3 states/eV per cell.


A plane-wave DFT calculation with PBE-GGA was carried out for crystalline CaMn2Cr at its relaxed geometry.

```
CaMn2Cr
1.0
3.051 0.000 0.000
-1.526 2.642 0.000
0.000 0.000 26.344
Ca Mn Cr
3 6 3
direct
0.000 0.000 0.000 Ca
0.333 0.667 0.667 Ca
0.667 0.333 0.333 Ca
0.000 0.000 0.232 Mn
0.000 0.000 0.768 Mn
0.333 0.667 0.434 Mn
0.333 0.667 0.899 Mn
0.667 0.333 0.101 Mn
0.667 0.333 0.566 Mn
0.000 0.000 0.500 Cr
0.333 0.667 0.167 Cr
0.667 0.333 0.833 Cr
```

Summary:
For the raw total energy, the calculation gives -81.52 eV for the cell shown. The value obtained for the excess energy over the best structure of this formula in the dataset is 0.3176 eV/atom. The calculation puts the formation energy at 0.70 eV per atom. For the total moment, the calculation gives 13.39 μB per cell. The density of states at the Fermi level is 15.4 states/eV per cell.


A plane-wave DFT calculation with PBE-GGA was carried out for crystalline Ca4MnCr at its relaxed geometry.

```
Ca4MnCr
1.0
0.000 4.673 4.673
4.673 0.000 4.673
4.673 4.673 0.000
Ca Mn Cr
4 1 1
direct
0.125 0.125 0.125 Ca
0.125 0.125 0.625 Ca
0.125 0.625 0.125 Ca
0.625 0.125 0.125 Ca
0.500 0.500 0.500 Mn
0.750 0.750 0.750 Cr
```

Summary:
For the raw total energy, the calculation gives -21.32 eV for the cell shown. The calculation puts the formation energy at 0.91 eV per atom. For the total moment, the calculation gives 9.51 μB per cell. The density of states at the Fermi level is 5.3 states/eV per cell.


A plane-wave DFT calculation with PBE-GGA was carried out for crystalline CaMn2Cr at its relaxed geometry.

```
CaMn2Cr
1.0
3.056 0.000 0.000
0.000 3.056 0.000
0.000 0.000 7.429
Ca Mn Cr
1 2 1
direct
0.000 0.000 0.000 Ca
0.500 0.500 0.322 Mn
0.500 0.500 0.678 Mn
0.000 0.000 0.500 Cr
```

Summary:
For the raw total energy, the calculation gives -28.40 eV for the cell shown. The value obtained for the excess energy over the best structure of this formula in the dataset is 0.0103 eV/atom. The calculation puts the formation energy at 0.39 eV per atom. For the total moment, the calculation gives 4.37 μB per cell. The density of states at the Fermi level is 5.2 states/eV per cell.


The records above yield density values of 2.8, 4.5, 2.7, 3.2, 2.1, 3.5, 3.3, 2.4, 2.0, 4.7, 2.2, 4.8 g/cm3, respectively.